DFT (GGA-PBE) results for a geometry-optimized NaLiMg6O7 structure.

a = 4.2736 Å, b = 4.2736 Å, c = 8.6832 Å
α = 90.00°, β = 90.00°, γ = 90.00°
Atoms (fractional coordinates):
1 Na 0.0000 0.0000 0.0000
2 Li 0.0000 0.0000 0.5023
3 Mg 0.0000 0.5000 0.2587
4 Mg 0.0000 0.5000 0.7447
5 Mg 0.5000 0.0000 0.2587
6 Mg 0.5000 0.0000 0.7447
7 Mg 0.5000 0.5000 0.0154
8 Mg 0.5000 0.5000 0.4814
9 O 0.0000 0.0000 0.2610
10 O 0.0000 0.0000 0.7361
11 O 0.0000 0.5000 0.5116
12 O 0.0000 0.5000 0.9773
13 O 0.5000 0.0000 0.5116
14 O 0.5000 0.0000 0.9773
15 O 0.5000 0.5000 0.2489

Calculated values
Spin magnetization   0.000 Bohr magnetons per cell
Energy above the most stable polymorph in this dataset   111.2 meV/atom
Crystal system   tetragonal
Energy relative to the elements, uncorrected   -2.134 eV per atom
E   -5.301 eV/atom
Symmetry   P4mm, No. 99